Record 1
A plane-wave DFT calculation with PBE-GGA was carried out for KLa3As after structural relaxation.

## Properties
* E_tot: -3.21 eV per atom
* ΔE_f: 901 meV per atom

abc: 5.410 5.410 5.410
angles: 90.00 90.00 90.00
Fractional positions:
As (0.500, 0.500, 0.500)
K (0.000, 0.000, 0.000)
La (0.000, 0.500, 0.000)
La (0.000, 0.000, 0.500)
La (0.500, 0.000, 0.000)


Record 2
A plane-wave DFT calculation with PBE-GGA was carried out for CuCS2Cl after structural relaxation.

## Properties
* E_tot: -3.62 eV per atom

abc: 3.770 3.770 7.282
angles: 90.00 90.00 90.00
Fractional positions:
S (0.000, 0.500, 0.000)
S (0.500, 0.000, 0.000)
C (0.000, 0.000, 0.000)
Cu (0.500, 0.500, 0.500)
Cl (0.000, 0.000, 0.500)


Record 3
A plane-wave DFT calculation with PBE-GGA was carried out for TiTcPbO6 after structural relaxation.

## Properties
* E_tot: -7.58 eV per atom

abc: 5.211 5.211 10.661
angles: 90.00 90.00 120.00
Fractional positions:
Ti (0.667, 0.333, 0.250)
Ti (0.333, 0.667, 0.750)
Tc (0.333, 0.667, 0.250)
Tc (0.667, 0.333, 0.750)
Pb (0.000, 0.000, 0.000)
Pb (0.000, 0.000, 0.500)
O (0.617, 0.622, 0.148)
O (0.005, 0.383, 0.148)
O (0.383, 0.005, 0.648)
O (0.995, 0.617, 0.852)
O (0.378, 0.383, 0.352)
O (0.005, 0.622, 0.352)
O (0.622, 0.005, 0.852)
O (0.617, 0.995, 0.352)
O (0.995, 0.378, 0.648)
O (0.378, 0.995, 0.148)
O (0.622, 0.617, 0.648)
O (0.383, 0.378, 0.852)


Record 4
A plane-wave DFT calculation with PBE-GGA was carried out for Tb2YEr3 after structural relaxation.

## Properties
* E_tot: -4.88 eV per atom
* ΔE_f: 22 meV per atom

abc: 6.117 7.071 9.364
angles: 112.28 89.95 90.02
Fractional positions:
Tb (0.582, 0.542, 0.333)
Tb (0.082, 0.791, 0.333)
Tb (0.918, 0.209, 0.667)
Tb (0.418, 0.458, 0.667)
Y (0.750, 0.126, 0.000)
Y (0.250, 0.874, 0.000)
Er (0.250, 0.376, 0.000)
Er (0.750, 0.624, 0.000)
Er (0.084, 0.292, 0.334)
Er (0.416, 0.958, 0.666)
Er (0.584, 0.042, 0.334)
Er (0.916, 0.708, 0.666)


Record 5
A plane-wave DFT calculation with PBE-GGA was carried out for CaBi3Pt8 after structural relaxation.

## Properties
* E_tot: -5.43 eV per atom
* ΔE_f: -270 meV per atom

abc: 5.545 5.545 8.845
angles: 90.00 90.00 120.00
Fractional positions:
Ca (0.000, 0.000, 0.571)
Bi (0.667, 0.333, 0.452)
Bi (0.667, 0.333, 0.045)
Bi (0.000, 0.000, 0.952)
Pt (0.333, 0.667, 0.497)
Pt (0.333, 0.667, 0.996)
Pt (0.500, 0.000, 0.744)
Pt (0.500, 0.500, 0.744)
Pt (0.000, 0.500, 0.744)
Pt (0.166, 0.331, 0.252)
Pt (0.166, 0.834, 0.252)
Pt (0.669, 0.834, 0.252)


Record 6
A plane-wave DFT calculation with PBE-GGA was carried out for LiSiP after structural relaxation.

## Properties
* E_tot: -4.53 eV per atom

abc: 3.459 3.459 5.238
angles: 90.00 90.00 120.00
Fractional positions:
Li (0.000, 0.000, 0.021)
P (0.667, 0.333, 0.379)
Si (0.333, 0.667, 0.600)


Record 7
A plane-wave DFT calculation with PBE-GGA was carried out for GdNiPd after structural relaxation.

## Properties
* E_tot: -8.89 eV per atom
* ΔE_f: -537 meV per atom

abc: 3.726 4.258 4.258
angles: 120.00 90.00 90.00
Fractional positions:
Ni (0.167, 0.333, 0.667)
Gd (0.667, 0.667, 0.333)
Pd (0.166, 0.000, 0.000)


Record 8
A plane-wave DFT calculation with PBE-GGA was carried out for Tb6Ge2PbS3 after structural relaxation.

## Properties
* E_tot: -5.78 eV per atom

abc: 4.083 8.300 9.213
angles: 103.37 102.80 90.00
Fractional positions:
Tb (0.326, 0.910, 0.652)
Tb (0.669, 0.582, 0.337)
Tb (0.674, 0.090, 0.348)
Tb (0.999, 0.271, 0.999)
Tb (0.001, 0.729, 0.001)
Tb (0.331, 0.418, 0.663)
Ge (0.834, 0.667, 0.668)
Ge (0.166, 0.333, 0.332)
Pb (0.500, 0.000, 0.000)
S (0.500, 0.500, 0.000)
S (0.833, 0.169, 0.667)
S (0.167, 0.831, 0.333)


Record 9
A plane-wave DFT calculation with PBE-GGA was carried out for Tm2Ge5Pt3 after structural relaxation.

## Properties
* E_tot: -5.78 eV per atom
* ΔE_f: -768 meV per atom

abc: 4.310 7.020 12.359
angles: 90.00 100.04 90.00
Fractional positions:
Tm (0.479, 0.748, 0.958)
Tm (0.173, 0.742, 0.347)
Tm (0.827, 0.242, 0.653)
Tm (0.521, 0.248, 0.042)
Ge (0.398, 0.392, 0.796)
Ge (0.288, 0.506, 0.577)
Ge (0.712, 0.006, 0.423)
Ge (0.119, 0.272, 0.238)
Ge (0.296, 0.923, 0.593)
Ge (0.953, 0.089, 0.906)
Ge (0.704, 0.423, 0.407)
Ge (0.881, 0.772, 0.762)
Ge (0.047, 0.589, 0.094)
Ge (0.602, 0.892, 0.204)
Pt (0.777, 0.701, 0.553)
Pt (0.605, 0.521, 0.209)
Pt (0.054, 0.969, 0.109)
Pt (0.223, 0.201, 0.447)
Pt (0.946, 0.469, 0.891)
Pt (0.395, 0.021, 0.791)


Record 10
A plane-wave DFT calculation with PBE-GGA was carried out for Zr6AlZn after structural relaxation.

## Properties
* E_tot: -7.19 eV per atom
* ΔE_f: -148 meV per atom

abc: 8.826 8.826 8.826
angles: 149.98 149.98 42.97
Fractional positions:
Zr (0.250, 0.250, 0.000)
Zr (0.885, 0.385, 0.500)
Zr (0.385, 0.885, 0.500)
Zr (0.115, 0.615, 0.500)
Zr (0.750, 0.750, 0.000)
Zr (0.615, 0.115, 0.500)
Al (0.500, 0.500, 0.000)
Zn (0.000, 0.000, 0.000)


Record 11
A plane-wave DFT calculation with PBE-GGA was carried out for AcIn2TeO8 after structural relaxation.

## Properties
* E_tot: -5.96 eV per atom

abc: 4.850 4.926 7.194
angles: 90.00 90.00 89.36
Fractional positions:
Ac (0.000, 0.000, 0.500)
In (0.500, 0.500, 0.774)
In (0.500, 0.500, 0.226)
Te (0.000, 0.000, 0.000)
O (0.175, 0.799, 0.204)
O (0.701, 0.730, 0.000)
O (0.825, 0.201, 0.204)
O (0.825, 0.201, 0.796)
O (0.299, 0.270, 0.000)
O (0.175, 0.799, 0.796)
O (0.606, 0.700, 0.500)
O (0.394, 0.300, 0.500)


Record 12
A plane-wave DFT calculation with PBE-GGA was carried out for Rb2H6I after structural relaxation.

## Properties
* E_tot: -2.72 eV per atom

abc: 6.948 6.471 9.502
angles: 137.40 90.00 122.47
Fractional positions:
Rb (0.502, 0.003, 0.773)
Rb (0.498, 0.997, 0.227)
H (0.140, 0.004, 0.399)
H (0.860, 0.996, 0.601)
H (0.136, 0.996, 0.601)
H (0.152, 0.000, 0.500)
H (0.848, 0.000, 0.500)
H (0.864, 0.004, 0.399)
I (0.000, 0.000, 0.000)


| no. | magnetic moment (μB/atom) |
| --- | --- |
| 1 | 0.000 |
| 2 | 0.000 |
| 3 | 0.113 |
| 4 | 0.000 |
| 5 | 0.000 |
| 6 | 0.000 |
| 7 | 2.333 |
| 8 | 0.000 |
| 9 | 0.000 |
| 10 | 0.000 |
| 11 | 0.084 |
| 12 | 0.111 |